The following is a DFT calculation (PBE-GGA) of a relaxed structure of La2TbTe4.

Computed properties:
Formation energy (no corrections) in eV per atom: -1.46
Total DFT energy (no corrections) in eV per formula unit: -37.252

Cell and atoms, written as extended XYZ:
```
14
Lattice="4.336 0.000 0.000 -2.168 7.566 0.000 0.000 0.000 15.358" Properties=species:S:1:pos:R:3 pbc="T T T"
La 0.000 1.993 6.562
La 2.168 5.573 14.241
La 0.000 1.993 1.117
La 2.168 5.573 8.797
Tb 2.168 1.953 11.519
Tb 0.000 5.612 3.840
Te 2.168 4.269 1.938
Te 2.168 4.269 5.741
Te 0.000 3.297 13.420
Te 0.000 3.297 9.617
Te 2.168 7.270 11.519
Te 0.000 0.295 3.840
Te 2.168 0.000 0.000
Te 2.168 0.000 7.679
```